## B2RhNCl (GGA-PBE)

Data for a relaxed structure of B2RhNCl.

CIF file:
```
data_B2RhNCl
_chemical_formula_sum 'B2 Rh1 N1 Cl1'
_space_group_name_H-M_alt 'P 1'
_space_group_IT_number 1
_cell_length_a 4.070
_cell_length_b 4.070
_cell_length_c 5.045
_cell_angle_alpha 90.00
_cell_angle_beta 90.00
_cell_angle_gamma 90.00
loop_
_space_group_symop_operation_xyz
'x,y,z'
loop_
_atom_site_label
_atom_site_type_symbol
_atom_site_fract_x
_atom_site_fract_y
_atom_site_fract_z
_atom_site_occupancy
B1 B 0.000 0.500 0.000 1
B2 B 0.500 0.000 0.000 1
Rh1 Rh 0.000 0.000 0.000 1
N1 N 0.500 0.500 0.500 1
Cl1 Cl 0.000 0.000 0.500 1
```

The value obtained for the uncorrected formation energy is 1.70 eV/atom. The density of states at the Fermi level is 1.23 states/eV per cell. As for the space group: No. 123. The crystal system is tetragonal. For the total magnetization, the calculation gives 2.92 μB per formula unit. For the calculated total energy, the calculation gives -22.400 eV per cell.


## BSN2Cl (GGA-PBE)

Data for a relaxed structure of BSN2Cl.

CIF file:
```
data_BSN2Cl
_chemical_formula_sum 'B1 S1 N2 Cl1'
_space_group_name_H-M_alt 'P 1'
_space_group_IT_number 1
_cell_length_a 3.384
_cell_length_b 3.384
_cell_length_c 7.440
_cell_angle_alpha 90.00
_cell_angle_beta 90.00
_cell_angle_gamma 90.00
loop_
_space_group_symop_operation_xyz
'x,y,z'
loop_
_atom_site_label
_atom_site_type_symbol
_atom_site_fract_x
_atom_site_fract_y
_atom_site_fract_z
_atom_site_occupancy
B1 B 0.000 0.000 0.000 1
S1 S 0.500 0.500 0.000 1
N1 N 0.000 0.500 0.500 1
N2 N 0.500 0.000 0.500 1
Cl1 Cl 0.500 0.500 0.500 1
```

The value obtained for the uncorrected formation energy is 2.68 eV/atom. The density of states at the Fermi level is 3.26 states/eV per cell. As for the space group: No. 123. The crystal system is tetragonal. For the total magnetization, the calculation gives 0.00 μB per formula unit. For the calculated total energy, the calculation gives -15.885 eV per cell. As for the polymorph energy (0 for the lowest one): 1394 meV/atom.


## BSNCl2 (GGA-PBE)

Data for a relaxed structure of BSNCl2.

CIF file:
```
data_BSNCl2
_chemical_formula_sum 'B1 S1 N1 Cl2'
_space_group_name_H-M_alt 'P 1'
_space_group_IT_number 1
_cell_length_a 4.675
_cell_length_b 4.675
_cell_length_c 3.878
_cell_angle_alpha 90.00
_cell_angle_beta 90.00
_cell_angle_gamma 90.00
loop_
_space_group_symop_operation_xyz
'x,y,z'
loop_
_atom_site_label
_atom_site_type_symbol
_atom_site_fract_x
_atom_site_fract_y
_atom_site_fract_z
_atom_site_occupancy
B1 B 0.000 0.000 0.000 1
S1 S 0.000 0.000 0.500 1
N1 N 0.500 0.500 0.500 1
Cl1 Cl 0.000 0.500 0.000 1
Cl2 Cl 0.500 0.000 0.000 1
```

The value obtained for the uncorrected formation energy is 1.51 eV/atom. The density of states at the Fermi level is 3.03 states/eV per cell. As for the space group: No. 123. The crystal system is tetragonal. For the total magnetization, the calculation gives 2.35 μB per formula unit. For the calculated total energy, the calculation gives -15.273 eV per cell. As for the polymorph energy (0 for the lowest one): 0 meV/atom.